(1)
DFT (PBE-GGA) results for a geometry-optimized KTa3P structure.

## Properties
Calculated volume   109 Å³/cell
D(E_F)   1.915 states/eV/atom
Spin magnetization   0.00 μB/atom
Distance to the lowest polymorph of the same formula   0.000 eV/atom
Crystal system   cubic

Cell lengths 4.784, 4.784, 4.784 Å; angles 90.00, 90.00, 90.00 degrees
Fractional coordinates of all 5 atoms:
K: 0.500 0.500 0.500
P: 0.000 0.000 0.000
Ta: 0.500 0.000 0.000
Ta: 0.000 0.500 0.000
Ta: 0.000 0.000 0.500



(2)
DFT (PBE-GGA) results for a geometry-optimized NaTiIrO4 structure.

## Properties
Calculated volume   169 Å³/cell
Raw formation energy   -1238 kJ/mol of formula units
Spin magnetization   0.00 μB/atom
Crystal system   orthorhombic

Cell lengths 6.675, 6.128, 6.129 Å; angles 120.00, 90.00, 123.00 degrees
Fractional coordinates of all 14 atoms:
Na: 0.898 0.797 0.148
Ir: 0.000 0.500 0.500
O: 0.306 0.001 0.751
O: 0.694 0.999 0.249
O: 0.740 0.480 0.283
Ti: 0.500 0.000 0.000
O: 0.695 0.001 0.751
O: 0.305 0.999 0.249
Ti: 0.500 0.000 0.500
O: 0.740 0.480 0.697
Na: 0.102 0.203 0.852
Ir: 0.500 0.500 0.500
O: 0.260 0.520 0.303
O: 0.260 0.520 0.717



(3)
DFT (PBE-GGA) results for a geometry-optimized In4AsIr structure.

## Properties
Calculated volume   140 Å³/cell
D(E_F)   1.070 states/eV/atom
Spin magnetization   0.14 μB/atom
Crystal system   cubic
DFT total energy   -3.307 eV/atom

Cell lengths 5.826, 5.826, 5.826 Å; angles 60.00, 60.00, 60.00 degrees
Fractional coordinates of all 6 atoms:
In: 0.375 0.874 0.375
In: 0.375 0.375 0.874
In: 0.874 0.375 0.375
As: 0.000 0.000 0.000
In: 0.375 0.375 0.375
Ir: 0.750 0.750 0.750



(4)
DFT (PBE-GGA) results for a geometry-optimized NaUAg2Br8 structure.

## Properties
Calculated volume   412 Å³/cell
Raw formation energy   -988 kJ/mol of formula units
D(E_F)   1.236 states/eV/atom
Spin magnetization   0.09 μB/atom
Crystal system   tetragonal

Cell lengths 8.117, 8.117, 8.117 Å; angles 109.22, 109.22, 109.97 degrees
Fractional coordinates of all 12 atoms:
Br: 0.312 0.524 0.212
Br: 0.702 0.022 0.679
Na: 0.000 0.000 0.000
Br: 0.978 0.657 0.679
Br: 0.978 0.298 0.321
Br: 0.312 0.101 0.788
Br: 0.343 0.022 0.321
Ag: 0.750 0.250 0.500
Ag: 0.500 0.500 0.000
Br: 0.899 0.688 0.212
Br: 0.476 0.688 0.788
U: 0.250 0.750 0.500



(5)
DFT (PBE-GGA) results for a geometry-optimized TmTl2Os3O12 structure.

## Properties
Calculated volume   288 Å³/cell
Raw formation energy   -2241 kJ/mol of formula units
D(E_F)   0.351 states/eV/atom
Spin magnetization   0.11 μB/atom
Crystal system   trigonal

Cell lengths 7.524, 7.524, 7.524 Å; angles 58.13, 58.13, 58.13 degrees
Fractional coordinates of all 18 atoms:
O: 0.079 0.642 0.079
O: 0.642 0.079 0.079
Tm: 0.000 0.000 0.000
O: 0.079 0.079 0.642
Os: 0.000 0.000 0.500
O: 0.698 0.698 0.073
Os: 0.500 0.000 0.000
O: 0.302 0.927 0.302
O: 0.073 0.698 0.698
O: 0.927 0.302 0.302
Tl: 0.656 0.656 0.656
O: 0.302 0.302 0.927
O: 0.358 0.921 0.921
Tl: 0.344 0.344 0.344
O: 0.698 0.073 0.698
O: 0.921 0.921 0.358
O: 0.921 0.358 0.921
Os: 0.000 0.500 0.000



(6)
DFT (PBE-GGA) results for a geometry-optimized LiSb2Se structure.

## Properties
Calculated volume   113 Å³/cell
Raw formation energy   -87 kJ/mol of formula units
D(E_F)   0.354 states/eV/atom
Spin magnetization   0.00 μB/atom
Crystal system   monoclinic

Cell lengths 6.885, 6.885, 4.780 Å; angles 94.07, 94.07, 29.96 degrees
Fractional coordinates of all 4 atoms:
Se: 0.507 0.507 0.645
Sb: 0.252 0.252 0.154
Sb: 0.034 0.034 0.058
Li: 0.706 0.706 0.643



(7)
DFT (PBE-GGA) results for a geometry-optimized Ba4Sr7Li structure.

## Properties
Calculated volume   657 Å³/cell
D(E_F)   1.339 states/eV/atom
Spin magnetization   0.00 μB/atom
Crystal system   trigonal
DFT total energy   -1.737 eV/atom

Cell lengths 6.770, 6.770, 16.560 Å; angles 90.00, 90.00, 120.00 degrees
Fractional coordinates of all 12 atoms:
Ba: 0.667 0.333 0.334
Sr: 0.333 0.667 0.424
Sr: 0.667 0.333 0.827
Ba: 0.333 0.667 0.916
Sr: 0.000 0.000 0.261
Ba: 0.333 0.667 0.666
Sr: 0.000 0.000 0.000
Li: 0.000 0.000 0.500
Sr: 0.333 0.667 0.173
Ba: 0.667 0.333 0.084
Sr: 0.000 0.000 0.739
Sr: 0.667 0.333 0.576



(8)
DFT (PBE-GGA) results for a geometry-optimized Sr2YNiHg structure.

## Properties
Calculated volume   182 Å³/cell
D(E_F)   0.906 states/eV/atom
Spin magnetization   0.00 μB/atom
Crystal system   tetragonal
DFT total energy   -2.789 eV/atom

Cell lengths 6.088, 4.898, 6.088 Å; angles 90.00, 90.00, 90.00 degrees
Fractional coordinates of all 5 atoms:
Y: 0.500 0.500 0.500
Sr: 0.000 0.000 0.500
Hg: 0.000 0.000 0.000
Ni: 0.000 0.500 0.000
Sr: 0.500 0.000 0.000